1.
# PBE Dy2Tm5Sn4, optimized geometry
data_Dy2Tm5Sn4
_chemical_formula_sum 'Dy4 Tm10 Sn8'
_space_group_name_H-M_alt 'C 1 2/m 1'
_space_group_IT_number 12
_cell_length_a 26.179
_cell_length_b 3.470
_cell_length_c 7.289
_cell_angle_alpha 90.00
_cell_angle_beta 90.97
_cell_angle_gamma 90.00
loop_
_space_group_symop_operation_xyz
'x,y,z'
'-x,-y,-z'
'-x,y,-z'
'x,-y,z'
'x+1/2,y+1/2,z'
'-x+1/2,-y+1/2,-z'
'-x+1/2,y+1/2,-z'
'x+1/2,-y+1/2,z'
loop_
_atom_site_label
_atom_site_type_symbol
_atom_site_fract_x
_atom_site_fract_y
_atom_site_fract_z
Dy1 Dy 0.237 0.000 0.217
Tm1 Tm 0.000 0.500 0.000
Tm2 Tm 0.090 0.000 0.289
Tm3 Tm 0.139 0.000 0.831
Sn1 Sn 0.030 0.000 0.667
Sn2 Sn 0.173 0.500 0.496
# energy relative to the elements: -0.234 eV/atom
# M_tot: 0.00 Bohr magnetons per cell

2.
# PBE Dy3Tm2Sn2, optimized geometry
data_Dy3Tm2Sn2
_chemical_formula_sum 'Dy6 Tm4 Sn4'
_space_group_name_H-M_alt 'C 1 2/m 1'
_space_group_IT_number 12
_cell_length_a 16.607
_cell_length_b 3.469
_cell_length_c 7.834
_cell_angle_alpha 90.00
_cell_angle_beta 115.83
_cell_angle_gamma 90.00
loop_
_space_group_symop_operation_xyz
'x,y,z'
'-x,-y,-z'
'-x,y,-z'
'x,-y,z'
'x+1/2,y+1/2,z'
'-x+1/2,-y+1/2,-z'
'-x+1/2,y+1/2,-z'
'x+1/2,-y+1/2,z'
loop_
_atom_site_label
_atom_site_type_symbol
_atom_site_fract_x
_atom_site_fract_y
_atom_site_fract_z
Dy1 Dy 0.000 0.000 0.000
Dy2 Dy 0.214 0.000 0.153
Tm1 Tm 0.117 0.000 0.470
Sn1 Sn 0.080 0.500 0.768
# energy relative to the elements: -0.247 eV/atom
# M_tot: 1.23 Bohr magnetons per cell

3.
# PBE Dy6Tm12Sn, optimized geometry
data_Dy6Tm12Sn
_chemical_formula_sum 'Dy18 Tm36 Sn3'
_space_group_name_H-M_alt 'R -3'
_space_group_IT_number 148
_space_group_name_Hall '-R 3'
_cell_length_a 11.6669
_cell_length_b 11.6669
_cell_length_c 14.7952
_cell_angle_alpha 90.00
_cell_angle_beta 90.00
_cell_angle_gamma 120.00
loop_
_atom_site_label
_atom_site_type_symbol
_atom_site_fract_x
_atom_site_fract_y
_atom_site_fract_z
Dy1 Dy 0.0143 0.4251 0.1813
Tm1 Tm 0.0063 0.8281 0.6879
Tm2 Tm 0.0419 0.8493 0.9160
Sn1 Sn 0.0000 0.0000 0.5000
# energy relative to the elements: 0.042 eV/atom
# M_tot: 0.00 Bohr magnetons per cell

4.
# PBE DyTm5Sn2, optimized geometry
data_DyTm5Sn2
_chemical_formula_sum 'Dy2 Tm10 Sn4'
_space_group_name_H-M_alt 'I m m m'
_space_group_IT_number 71
_space_group_name_Hall '-I 2 2'
_cell_length_a 3.519
_cell_length_b 10.375
_cell_length_c 12.432
_cell_angle_alpha 90.00
_cell_angle_beta 90.00
_cell_angle_gamma 90.00
loop_
_atom_site_label
_atom_site_type_symbol
_atom_site_fract_x
_atom_site_fract_y
_atom_site_fract_z
Dy1 Dy 0.000 0.000 0.000
Tm1 Tm 0.000 0.226 0.365
Tm2 Tm 0.000 0.500 0.000
Sn1 Sn 0.000 0.500 0.261
# energy relative to the elements: -0.296 eV/atom
# M_tot: 0.00 Bohr magnetons per cell

5.
# PBE DyTm2Sn, optimized geometry
data_DyTm2Sn
_chemical_formula_sum 'Dy3 Tm6 Sn3'
_space_group_name_H-M_alt 'R -3 m'
_space_group_IT_number 166
_space_group_name_Hall '-R 3 2"'
_cell_length_a 3.4426
_cell_length_b 3.4426
_cell_length_c 35.0153
_cell_angle_alpha 90.00
_cell_angle_beta 90.00
_cell_angle_gamma 120.00
loop_
_atom_site_label
_atom_site_type_symbol
_atom_site_fract_x
_atom_site_fract_y
_atom_site_fract_z
Dy1 Dy 0.0000 0.0000 0.0000
Tm1 Tm 0.0000 0.0000 0.0951
Sn1 Sn 0.0000 0.0000 0.5000
# energy relative to the elements: 0.030 eV/atom
# M_tot: 2.11 Bohr magnetons per cell
# excess energy over the best structure of this formula in the dataset: 0.435 eV per atom

6.
# PBE DyTm12Sn6, optimized geometry
data_DyTm12Sn6
_chemical_formula_sum 'Dy3 Tm36 Sn18'
_space_group_name_H-M_alt 'R -3'
_space_group_IT_number 148
_space_group_name_Hall '-R 3'
_cell_length_a 14.6803
_cell_length_b 14.6803
_cell_length_c 8.4721
_cell_angle_alpha 90.00
_cell_angle_beta 90.00
_cell_angle_gamma 120.00
loop_
_atom_site_label
_atom_site_type_symbol
_atom_site_fract_x
_atom_site_fract_y
_atom_site_fract_z
Dy1 Dy 0.0000 0.0000 0.0000
Tm1 Tm 0.0052 0.1358 0.6663
Tm2 Tm 0.0609 0.5783 0.6678
Sn1 Sn 0.0227 0.2615 0.3389
# energy relative to the elements: -0.373 eV/atom
# M_tot: 0.00 Bohr magnetons per cell

7.
# PBE DyTm5Sn3, optimized geometry
data_DyTm5Sn3
_chemical_formula_sum 'Dy4 Tm20 Sn12'
_space_group_name_H-M_alt 'I 4/m c m'
_space_group_IT_number 140
_space_group_name_Hall '-I 4 2c'
_cell_length_a 7.422
_cell_length_b 7.422
_cell_length_c 18.894
_cell_angle_alpha 90.00
_cell_angle_beta 90.00
_cell_angle_gamma 90.00
loop_
_atom_site_label
_atom_site_type_symbol
_atom_site_fract_x
_atom_site_fract_y
_atom_site_fract_z
Dy1 Dy 0.000 0.500 0.250
Tm1 Tm 0.000 0.000 0.000
Tm2 Tm 0.197 0.303 0.126
Sn1 Sn 0.000 0.000 0.250
Sn2 Sn 0.129 0.371 0.500
# energy relative to the elements: -0.201 eV/atom
# M_tot: 0.00 Bohr magnetons per cell

8.
# PBE DyTm4Sn2, optimized geometry
data_DyTm4Sn2
_chemical_formula_sum 'Dy2 Tm8 Sn4'
_space_group_name_H-M_alt 'P 1 21/m 1'
_space_group_IT_number 11
_cell_length_a 7.946
_cell_length_b 6.457
_cell_length_c 8.553
_cell_angle_alpha 90.00
_cell_angle_beta 114.60
_cell_angle_gamma 90.00
loop_
_space_group_symop_operation_xyz
'x,y,z'
'-x,-y,-z'
'-x,y+1/2,-z'
'x,-y+1/2,z'
loop_
_atom_site_label
_atom_site_type_symbol
_atom_site_fract_x
_atom_site_fract_y
_atom_site_fract_z
Dy1 Dy 0.102 0.250 0.360
Tm1 Tm 0.170 0.750 0.074
Tm2 Tm 0.331 0.003 0.779
Tm3 Tm 0.458 0.750 0.487
Sn1 Sn 0.054 0.750 0.377
Sn2 Sn 0.283 0.250 0.096
# energy relative to the elements: -0.362 eV/atom
# M_tot: 0.00 Bohr magnetons per cell